Record 1
{
  "formula": "CeCd2Ag",
  "functional": "PBE",
  "state": "relaxed",
  "m_tot_mub_per_atom": 0.28,
  "total_energy_ry_per_atom": -0.20652,
  "lattice": [[7.157, 0.000, 0.000], [0.000, 2.424, 5.565], [0.000, -2.424, 5.565]],
  "species": ["Ce", "Ce", "Cd", "Cd", "Cd", "Cd", "Ag", "Ag"],
  "frac_coords": [[0.000, 0.000, 0.000], [0.500, 0.181, 0.181], [0.000, 0.292, 0.292], [0.300, 0.471, 0.471], [0.500, 0.887, 0.887], [0.700, 0.471, 0.471], [0.197, 0.715, 0.715], [0.803, 0.715, 0.715]]
}

=====

Record 2
{
  "formula": "Ce2Cd3Ag2",
  "functional": "PBE",
  "state": "relaxed",
  "m_tot_mub_per_atom": 0.33,
  "e_above_lowest_polymorph_mev_per_atom": 0,
  "total_energy_ry_per_atom": -0.22190,
  "lattice": [[5.353, -2.173, 0.000], [5.353, 2.173, 0.000], [-0.358, 0.000, 7.525]],
  "species": ["Ce", "Ce", "Cd", "Cd", "Cd", "Ag", "Ag"],
  "frac_coords": [[0.124, 0.124, 0.326], [0.876, 0.876, 0.674], [0.182, 0.182, 0.871], [0.500, 0.500, 0.000], [0.818, 0.818, 0.129], [0.409, 0.409, 0.361], [0.591, 0.591, 0.639]]
}

=====

Record 3
{
  "formula": "Ce2CdAg",
  "functional": "PBE",
  "state": "relaxed",
  "m_tot_mub_per_atom": 0.32,
  "total_energy_ry_per_atom": -0.29548,
  "lattice": [[4.473, 0.000, 0.000], [0.000, 4.473, 0.000], [0.000, 0.000, 4.840]],
  "species": ["Ce", "Ce", "Cd", "Ag"],
  "frac_coords": [[0.000, 0.500, 0.000], [0.500, 0.000, 0.000], [0.000, 0.000, 0.500], [0.500, 0.500, 0.500]]
}

=====

Record 4
{
  "formula": "CeCd4Ag",
  "functional": "PBE",
  "state": "relaxed",
  "m_tot_mub_per_atom": 0.18,
  "e_above_lowest_polymorph_mev_per_atom": 0,
  "total_energy_ry_per_atom": -0.16195,
  "lattice": [[2.250, -8.505, 0.000], [2.250, 8.505, 0.000], [0.000, 0.000, 7.516]],
  "species": ["Ce", "Ce", "Cd", "Cd", "Cd", "Cd", "Cd", "Cd", "Cd", "Cd", "Ag", "Ag"],
  "frac_coords": [[0.126, 0.874, 0.750], [0.874, 0.126, 0.250], [0.067, 0.933, 0.250], [0.327, 0.673, 0.555], [0.327, 0.673, 0.945], [0.500, 0.500, 0.000], [0.500, 0.500, 0.500], [0.673, 0.327, 0.055], [0.673, 0.327, 0.445], [0.933, 0.067, 0.750], [0.234, 0.766, 0.250], [0.766, 0.234, 0.750]]
}

=====

Record 5
{
  "formula": "Ce2Cd3Ag",
  "functional": "PBE",
  "state": "relaxed",
  "m_tot_mub_per_atom": 0.44,
  "e_above_lowest_polymorph_mev_per_atom": 154,
  "total_energy_ry_per_atom": -0.22002,
  "lattice": [[-1.641, 2.542, 9.342], [1.641, -2.542, 9.342], [1.641, 2.542, -9.342]],
  "species": ["Ce", "Ce", "Cd", "Cd", "Cd", "Ag"],
  "frac_coords": [[0.000, 0.000, 0.000], [0.736, 0.236, 0.500], [0.153, 0.653, 0.500], [0.309, 0.809, 0.500], [0.430, 0.430, 0.000], [0.582, 0.582, 0.000]]
}

=====

Record 6
{
  "formula": "Ce6Cd2Ag",
  "functional": "PBE",
  "state": "relaxed",
  "m_tot_mub_per_atom": 0.32,
  "total_energy_ry_per_atom": -0.33393,
  "lattice": [[9.127, 0.000, 0.000], [-4.564, 7.904, 0.000], [0.000, 0.000, 2.967]],
  "species": ["Ce", "Ce", "Ce", "Ce", "Ce", "Ce", "Cd", "Cd", "Ag"],
  "frac_coords": [[0.000, 0.321, 0.000], [0.000, 0.679, 0.000], [0.321, 0.000, 0.000], [0.321, 0.321, 0.000], [0.679, 0.000, 0.000], [0.679, 0.679, 0.000], [0.333, 0.667, 0.500], [0.667, 0.333, 0.500], [0.000, 0.000, 0.500]]
}

=====

Record 7
{
  "formula": "Ce2CdAg5",
  "functional": "PBE",
  "state": "relaxed",
  "m_tot_mub_per_atom": 0.28,
  "e_above_lowest_polymorph_mev_per_atom": 86,
  "total_energy_ry_per_atom": -0.24685,
  "lattice": [[-3.468, 3.468, 3.856], [3.468, -3.468, 3.856], [3.468, 3.468, -3.856]],
  "species": ["Ce", "Ce", "Cd", "Ag", "Ag", "Ag", "Ag", "Ag"],
  "frac_coords": [[0.000, 0.500, 0.500], [0.500, 0.000, 0.500], [0.079, 0.079, 0.000], [0.451, 0.451, 0.000], [0.545, 0.545, 0.588], [0.545, 0.957, 0.000], [0.957, 0.545, 0.000], [0.957, 0.957, 0.412]]
}

=====

Record 8
{
  "formula": "Ce2Cd5Ag4",
  "functional": "PBE",
  "state": "relaxed",
  "m_tot_mub_per_atom": 0.22,
  "total_energy_ry_per_atom": -0.19344,
  "lattice": [[0.000, 4.798, 9.305], [2.944, 0.000, 9.305], [2.944, 4.798, 0.000]],
  "species": ["Ce", "Ce", "Cd", "Cd", "Cd", "Cd", "Cd", "Ag", "Ag", "Ag", "Ag"],
  "frac_coords": [[0.124, 0.124, 0.876], [0.876, 0.876, 0.124], [0.000, 0.000, 0.500], [0.250, 0.250, 0.250], [0.500, 0.500, 0.000], [0.500, 0.500, 0.500], [0.750, 0.750, 0.750], [0.214, 0.524, 0.476], [0.476, 0.786, 0.214], [0.524, 0.214, 0.786], [0.786, 0.476, 0.524]]
}

=====

Record 9
{
  "formula": "Ce2Cd6Ag3",
  "functional": "PBE",
  "state": "relaxed",
  "m_tot_mub_per_atom": 0.23,
  "total_energy_ry_per_atom": -0.17880,
  "lattice": [[8.203, 0.000, 0.000], [-4.101, 7.104, 0.000], [0.000, 0.000, 4.618]],
  "species": ["Ce", "Ce", "Cd", "Cd", "Cd", "Cd", "Cd", "Cd", "Ag", "Ag", "Ag"],
  "frac_coords": [[0.333, 0.667, 0.000], [0.667, 0.333, 0.000], [0.000, 0.207, 0.000], [0.000, 0.734, 0.500], [0.207, 0.000, 0.000], [0.266, 0.266, 0.500], [0.734, 0.000, 0.500], [0.793, 0.793, 0.000], [0.000, 0.403, 0.500], [0.403, 0.000, 0.500], [0.597, 0.597, 0.500]]
}

=====

Record 10
{
  "formula": "CeCd2Ag",
  "functional": "PBE",
  "state": "relaxed",
  "m_tot_mub_per_atom": 0.13,
  "total_energy_ry_per_atom": -0.20458,
  "lattice": [[3.148, 0.000, 0.000], [0.000, 3.148, 0.000], [0.000, 0.000, 8.957]],
  "species": ["Ce", "Cd", "Cd", "Ag"],
  "frac_coords": [[0.000, 0.000, 0.000], [0.500, 0.500, 0.281], [0.500, 0.500, 0.719], [0.000, 0.000, 0.500]]
}

=====

Record 11
{
  "formula": "CeCd12Ag6",
  "functional": "PBE",
  "state": "relaxed",
  "m_tot_mub_per_atom": 0.07,
  "total_energy_ry_per_atom": -0.13174,
  "lattice": [[6.284, 3.628, 3.163], [-6.284, 3.628, 3.163], [0.000, -7.256, 3.163]],
  "species": ["Ce", "Cd", "Cd", "Cd", "Cd", "Cd", "Cd", "Cd", "Cd", "Cd", "Cd", "Cd", "Cd", "Ag", "Ag", "Ag", "Ag", "Ag", "Ag"],
  "frac_coords": [[0.000, 0.000, 0.000], [0.113, 0.500, 0.887], [0.113, 0.887, 0.500], [0.132, 0.382, 0.382], [0.382, 0.132, 0.382], [0.382, 0.382, 0.132], [0.500, 0.113, 0.887], [0.500, 0.887, 0.113], [0.618, 0.618, 0.868], [0.618, 0.868, 0.618], [0.868, 0.618, 0.618], [0.887, 0.113, 0.500], [0.887, 0.500, 0.113], [0.291, 0.291, 0.705], [0.291, 0.705, 0.291], [0.295, 0.709, 0.709], [0.705, 0.291, 0.291], [0.709, 0.295, 0.709], [0.709, 0.709, 0.295]]
}

=====

Record 12
{
  "formula": "Ce3Cd3Ag8",
  "functional": "PBE",
  "state": "relaxed",
  "m_tot_mub_per_atom": 0.25,
  "total_energy_ry_per_atom": -0.23629,
  "lattice": [[-2.373, 4.862, 6.939], [2.373, -4.862, 6.939], [2.373, 4.862, -6.939]],
  "species": ["Ce", "Ce", "Ce", "Cd", "Cd", "Cd", "Ag", "Ag", "Ag", "Ag", "Ag", "Ag", "Ag", "Ag"],
  "frac_coords": [[0.000, 0.000, 0.000], [0.294, 0.294, 0.000], [0.706, 0.706, 0.000], [0.306, 0.500, 0.806], [0.500, 0.000, 0.500], [0.694, 0.500, 0.194], [0.026, 0.666, 0.360], [0.149, 0.865, 0.284], [0.306, 0.666, 0.640], [0.419, 0.135, 0.284], [0.581, 0.865, 0.716], [0.694, 0.334, 0.360], [0.851, 0.135, 0.716], [0.974, 0.334, 0.640]]
}

=====

Record 13
{
  "formula": "CeCd10Ag2",
  "functional": "PBE",
  "state": "relaxed",
  "m_tot_mub_per_atom": 0.09,
  "total_energy_ry_per_atom": -0.12464,
  "lattice": [[0.000, 7.088, 7.110], [2.872, 0.000, 7.110], [2.872, 7.088, 0.000]],
  "species": ["Ce", "Cd", "Cd", "Cd", "Cd", "Cd", "Cd", "Cd", "Cd", "Cd", "Cd", "Ag", "Ag"],
  "frac_coords": [[0.000, 0.000, 0.000], [0.000, 0.500, 0.000], [0.007, 0.650, 0.350], [0.287, 0.504, 0.496], [0.350, 0.993, 0.007], [0.496, 0.713, 0.287], [0.500, 0.000, 0.500], [0.504, 0.287, 0.713], [0.650, 0.007, 0.993], [0.713, 0.496, 0.504], [0.993, 0.350, 0.650], [0.000, 0.000, 0.500], [0.500, 0.500, 0.000]]
}

=====

Record 14
{
  "formula": "Ce3Cd3Ag2",
  "functional": "PBE",
  "state": "relaxed",
  "m_tot_mub_per_atom": 0.42,
  "e_above_lowest_polymorph_mev_per_atom": 0,
  "total_energy_ry_per_atom": -0.25194,
  "lattice": [[8.591, -2.446, 0.000], [8.591, 2.446, 0.000], [-1.312, 0.000, 4.638]],
  "species": ["Ce", "Ce", "Ce", "Cd", "Cd", "Cd", "Ag", "Ag"],
  "frac_coords": [[0.000, 0.000, 0.000], [0.131, 0.131, 0.634], [0.869, 0.869, 0.366], [0.357, 0.357, 0.855], [0.500, 0.500, 0.500], [0.643, 0.643, 0.145], [0.245, 0.245, 0.246], [0.755, 0.755, 0.754]]
}

=====

Record 15
{
  "formula": "CeCd2Ag",
  "functional": "PBE",
  "state": "relaxed",
  "m_tot_mub_per_atom": 0.20,
  "total_energy_ry_per_atom": -0.20584,
  "lattice": [[0.000, 3.607, 3.607], [3.607, 0.000, 3.607], [3.607, 3.607, 0.000]],
  "species": ["Ce", "Cd", "Cd", "Ag"],
  "frac_coords": [[0.000, 0.000, 0.000], [0.250, 0.250, 0.250], [0.750, 0.750, 0.750], [0.500, 0.500, 0.500]]
}

=====

Record 16
{
  "formula": "CeCd5Ag4",
  "functional": "PBE",
  "state": "relaxed",
  "m_tot_mub_per_atom": 0.09,
  "total_energy_ry_per_atom": -0.16717,
  "lattice": [[3.405, 0.000, 0.000], [0.000, 3.405, 0.000], [0.000, 0.000, 17.967]],
  "species": ["Ce", "Cd", "Cd", "Cd", "Cd", "Cd", "Ag", "Ag", "Ag", "Ag"],
  "frac_coords": [[0.000, 0.000, 0.000], [0.500, 0.500, 0.128], [0.500, 0.500, 0.314], [0.500, 0.500, 0.500], [0.500, 0.500, 0.686], [0.500, 0.500, 0.872], [0.000, 0.000, 0.221], [0.000, 0.000, 0.407], [0.000, 0.000, 0.593], [0.000, 0.000, 0.779]]
}

=====

Record 17
{
  "formula": "Ce2CdAg6",
  "functional": "PBE",
  "state": "relaxed",
  "m_tot_mub_per_atom": 0.31,
  "total_energy_ry_per_atom": -0.24688,
  "lattice": [[8.512, 0.000, 0.000], [-4.256, 7.372, 0.000], [0.000, 0.000, 3.109]],
  "species": ["Ce", "Ce", "Cd", "Ag", "Ag", "Ag", "Ag", "Ag", "Ag"],
  "frac_coords": [[0.333, 0.667, 0.000], [0.667, 0.333, 0.000], [0.000, 0.000, 0.000], [0.000, 0.328, 0.500], [0.000, 0.672, 0.500], [0.328, 0.000, 0.500], [0.328, 0.328, 0.500], [0.672, 0.000, 0.500], [0.672, 0.672, 0.500]]
}

=====

Record 18
{
  "formula": "Ce2Cd9Ag6",
  "functional": "PBE",
  "state": "relaxed",
  "m_tot_mub_per_atom": 0.15,
  "total_energy_ry_per_atom": -0.16314,
  "lattice": [[5.813, 0.000, 0.000], [-2.907, 5.034, 0.000], [0.000, 0.000, 14.238]],
  "species": ["Ce", "Ce", "Cd", "Cd", "Cd", "Cd", "Cd", "Cd", "Cd", "Cd", "Cd", "Ag", "Ag", "Ag", "Ag", "Ag", "Ag"],
  "frac_coords": [[0.000, 0.000, 0.154], [0.000, 0.000, 0.846], [0.000, 0.500, 0.000], [0.000, 0.500, 0.335], [0.000, 0.500, 0.665], [0.500, 0.000, 0.000], [0.500, 0.000, 0.335], [0.500, 0.000, 0.665], [0.500, 0.500, 0.000], [0.500, 0.500, 0.335], [0.500, 0.500, 0.665], [0.333, 0.667, 0.169], [0.333, 0.667, 0.500], [0.333, 0.667, 0.831], [0.667, 0.333, 0.169], [0.667, 0.333, 0.500], [0.667, 0.333, 0.831]]
}

=====

Record 19
{
  "formula": "Ce2Cd2Ag15",
  "functional": "PBE",
  "state": "relaxed",
  "m_tot_mub_per_atom": 0.13,
  "total_energy_ry_per_atom": -0.22150,
  "lattice": [[4.858, 2.805, 4.789], [-4.858, 2.805, 4.789], [0.000, -5.609, 4.789]],
  "species": ["Ce", "Ce", "Cd", "Cd", "Ag", "Ag", "Ag", "Ag", "Ag", "Ag", "Ag", "Ag", "Ag", "Ag", "Ag", "Ag", "Ag", "Ag", "Ag"],
  "frac_coords": [[0.150, 0.150, 0.150], [0.850, 0.850, 0.850], [0.396, 0.396, 0.396], [0.604, 0.604, 0.604], [0.000, 0.500, 0.500], [0.149, 0.149, 0.658], [0.149, 0.658, 0.149], [0.196, 0.500, 0.804], [0.196, 0.804, 0.500], [0.342, 0.851, 0.851], [0.500, 0.000, 0.500], [0.500, 0.196, 0.804], [0.500, 0.500, 0.000], [0.500, 0.804, 0.196], [0.658, 0.149, 0.149], [0.804, 0.196, 0.500], [0.804, 0.500, 0.196], [0.851, 0.342, 0.851], [0.851, 0.851, 0.342]]
}

=====

Record 20
{
  "formula": "CeCd4Ag",
  "functional": "PBE",
  "state": "relaxed",
  "m_tot_mub_per_atom": 0.19,
  "e_above_lowest_polymorph_mev_per_atom": 59,
  "total_energy_ry_per_atom": -0.15763,
  "lattice": [[7.322, -3.713, 0.000], [7.322, 3.713, 0.000], [-1.612, 0.000, 5.344]],
  "species": ["Ce", "Ce", "Cd", "Cd", "Cd", "Cd", "Cd", "Cd", "Cd", "Cd", "Ag", "Ag"],
  "frac_coords": [[0.210, 0.210, 0.143], [0.790, 0.790, 0.857], [0.071, 0.684, 0.432], [0.198, 0.802, 0.000], [0.316, 0.929, 0.568], [0.338, 0.338, 0.738], [0.662, 0.662, 0.262], [0.684, 0.071, 0.432], [0.802, 0.198, 0.000], [0.929, 0.316, 0.568], [0.444, 0.444, 0.245], [0.556, 0.556, 0.755]]
}

=====

Record 21
{
  "formula": "Ce3Cd3Ag2",
  "functional": "PBE",
  "state": "relaxed",
  "m_tot_mub_per_atom": 0.32,
  "e_above_lowest_polymorph_mev_per_atom": 20,
  "total_energy_ry_per_atom": -0.25048,
  "lattice": [[7.844, 0.000, 0.000], [-3.922, 6.793, 0.000], [0.000, 0.000, 3.967]],
  "species": ["Ce", "Ce", "Ce", "Cd", "Cd", "Cd", "Ag", "Ag"],
  "frac_coords": [[0.000, 0.407, 0.000], [0.407, 0.000, 0.000], [0.593, 0.593, 0.000], [0.000, 0.769, 0.500], [0.231, 0.231, 0.500], [0.769, 0.000, 0.500], [0.333, 0.667, 0.500], [0.667, 0.333, 0.500]]
}

=====

Record 22
{
  "formula": "Ce3Cd5Ag2",
  "functional": "PBE",
  "state": "relaxed",
  "m_tot_mub_per_atom": 0.41,
  "total_energy_ry_per_atom": -0.20982,
  "lattice": [[-6.268, 6.643, 3.101], [6.268, -6.643, 3.101], [6.268, 6.643, -3.101]],
  "species": ["Ce", "Ce", "Ce", "Ce", "Ce", "Ce", "Cd", "Cd", "Cd", "Cd", "Cd", "Cd", "Cd", "Cd", "Cd", "Cd", "Ag", "Ag", "Ag", "Ag"],
  "frac_coords": [[0.245, 0.623, 0.868], [0.250, 0.250, 0.000], [0.255, 0.123, 0.378], [0.745, 0.877, 0.622], [0.750, 0.750, 0.000], [0.755, 0.377, 0.132], [0.144, 0.376, 0.519], [0.250, 0.504, 0.254], [0.250, 0.750, 0.500], [0.250, 0.996, 0.746], [0.356, 0.876, 0.232], [0.644, 0.124, 0.768], [0.750, 0.004, 0.254], [0.750, 0.250, 0.500], [0.750, 0.496, 0.746], [0.856, 0.624, 0.481], [0.152, 0.860, 0.012], [0.348, 0.360, 0.708], [0.652, 0.640, 0.292], [0.848, 0.140, 0.988]]
}

=====

Volume per entry: 24.14, 25.01, 24.21, 23.98, 25.99, 23.78, 23.18, 23.90, 24.47, 22.20, 22.77, 22.87, 22.27, 24.36, 23.46, 20.83, 21.68, 24.51, 20.61, 24.21, 26.43, 25.82 Å³ per atom
DOS(E_F) per entry: 8.495, 16.139, 9.889, 10.408, 13.563, 22.928, 16.176, 19.507, 21.575, 5.150, 13.430, 28.221, 13.370, 18.180, 6.674, 7.185, 14.636, 21.927, 22.454, 8.851, 22.359, 24.022 states/eV/f.u.
Formation energy per entry: -0.16, -0.12, -0.11, -0.13, -0.08, -0.07, 0.02, -0.10, -0.08, -0.13, 0.00, -0.12, -0.10, -0.15, -0.15, -0.08, -0.04, -0.03, -0.04, -0.07, -0.13, -0.05 eV/atom